Crystalline CrOs at its relaxed geometry, computed with PBE-GGA.

Properties
Crystal system ... orthorhombic
SG ... Cmcm, No. 63
Calculated total energy ... -10.180 eV/atom
M_tot ... 0.0 μB/cell

Cell lengths 5.0093, 5.0093, 4.1959 Å; angles 90.00, 90.00, 149.08 degrees
Fractional coordinates of all 4 atoms:
Cr: 0.1704 0.8296 0.7500
Cr: 0.8296 0.1704 0.2500
Os: 0.4226 0.5774 0.7500
Os: 0.5774 0.4226 0.2500


Crystalline CrOs at its relaxed geometry, computed with PBE-GGA.

Properties
Crystal system ... orthorhombic
SG ... Pnma, No. 62
Calculated total energy ... -10.229 eV/atom
M_tot ... 0.0 μB/cell

Cell lengths 10.7434, 4.3134, 4.6332 Å; angles 90.00, 90.00, 90.00 degrees
Fractional coordinates of all 16 atoms:
Cr: 0.1252 0.2500 0.1838
Cr: 0.2475 0.7500 0.2781
Cr: 0.2525 0.2500 0.7781
Cr: 0.3748 0.7500 0.6838
Cr: 0.6252 0.2500 0.3162
Cr: 0.7475 0.7500 0.2219
Cr: 0.7525 0.2500 0.7219
Cr: 0.8748 0.7500 0.8162
Os: 0.0017 0.7500 0.3306
Os: 0.1283 0.7500 0.8252
Os: 0.3717 0.2500 0.3252
Os: 0.4983 0.2500 0.8306
Os: 0.5017 0.7500 0.1694
Os: 0.6283 0.7500 0.6748
Os: 0.8717 0.2500 0.1748
Os: 0.9983 0.2500 0.6694


Crystalline CrOs4 at its relaxed geometry, computed with PBE-GGA.

Properties
Crystal system ... tetragonal
SG ... I4/m, No. 87
Calculated total energy ... -10.794 eV/atom
M_tot ... 0.0 μB/cell

Cell lengths 4.6792, 4.6792, 4.6792 Å; angles 99.54, 99.54, 131.96 degrees
Fractional coordinates of all 5 atoms:
Cr: 0.0000 0.0000 0.0000
Os: 0.2022 0.4003 0.6025
Os: 0.4003 0.7978 0.1980
Os: 0.5997 0.2022 0.8020
Os: 0.7978 0.5997 0.3975


Crystalline CrOs at its relaxed geometry, computed with PBE-GGA.

Properties
Crystal system ... cubic
SG ... Pm-3n, No. 223
Calculated total energy ... -8.675 eV/atom
M_tot ... 6.1 μB/cell

Cell lengths 6.5995, 6.5995, 6.5995 Å; angles 90.00, 90.00, 90.00 degrees
Fractional coordinates of all 12 atoms:
Cr: 0.0000 0.2500 0.5000
Cr: 0.0000 0.7500 0.5000
Cr: 0.2500 0.5000 0.0000
Cr: 0.5000 0.0000 0.2500
Cr: 0.5000 0.0000 0.7500
Cr: 0.7500 0.5000 0.0000
Os: 0.0000 0.5000 0.2500
Os: 0.0000 0.5000 0.7500
Os: 0.2500 0.0000 0.5000
Os: 0.5000 0.2500 0.0000
Os: 0.5000 0.7500 0.0000
Os: 0.7500 0.0000 0.5000


Crystalline CrOs at its relaxed geometry, computed with PBE-GGA.

Properties
Crystal system ... trigonal
SG ... R-3m, No. 166
Calculated total energy ... -10.097 eV/atom
M_tot ... 0.0 μB/cell

Cell lengths 4.3884, 4.3884, 4.3884 Å; angles 55.92, 55.92, 55.92 degrees
Fractional coordinates of all 4 atoms:
Cr: 0.1507 0.1507 0.1507
Cr: 0.8493 0.8493 0.8493
Os: 0.3776 0.3776 0.3776
Os: 0.6224 0.6224 0.6224


Crystalline CrOs4 at its relaxed geometry, computed with PBE-GGA.

Properties
Crystal system ... cubic
SG ... Im-3m, No. 229
Calculated total energy ... -9.497 eV/atom
M_tot ... 0.0 μB/cell

Cell lengths 4.7639, 4.7639, 4.7639 Å; angles 109.47, 109.47, 109.47 degrees
Fractional coordinates of all 5 atoms:
Cr: 0.0000 0.0000 0.0000
Os: 0.0000 0.0000 0.5000
Os: 0.0000 0.5000 0.0000
Os: 0.5000 0.0000 0.0000
Os: 0.5000 0.5000 0.5000


Which formula does entry 1 have? CrOs